Entry 1:
Material: Pr2Al3Zn2
Method: DFT, GGA-PBE
State: optimized geometry

```
7
Lattice="4.449 0.000 0.000 -2.225 5.422 -0.087 0.000 -2.609 6.304" Properties=species:S:1:pos:R:3 pbc="T T T"
Pr 2.225 3.179 1.349
Zn 2.225 1.887 4.596
Zn 0.000 0.927 1.621
Al 2.224 -0.072 2.656
Al 0.000 2.886 3.561
Al 2.225 0.000 0.000
Pr 0.000 -0.366 4.868
```

Results
DFT total energy: -3.731 eV per atom
Polymorph energy (0 for the lowest one): 5 meV/atom
Space group: C2/m, No. 12
M_tot: 0.00 μB per atom
Calculated formation energy: -0.40 eV per atom


Entry 2:
Material: Na3SbBr6
Method: DFT, GGA-PBE
State: optimized geometry

```
10
Lattice="0.000 5.657 5.657 5.657 0.000 5.657 5.657 5.657 0.000" Properties=species:S:1:pos:R:3 pbc="T T T"
Br 5.657 8.521 5.657
Br 5.657 5.657 2.794
Sb 0.000 0.000 0.000
Br 5.657 5.657 8.521
Br 2.794 5.657 5.657
Na 5.657 5.657 5.657
Na 8.486 8.486 8.486
Br 5.657 2.794 5.657
Na 2.829 2.829 2.829
Br 8.521 5.657 5.657
```

Results
Raw formation energy: -1.0113 eV per atom
DFT total energy: -2.823 eV per atom
Polymorph energy (0 for the lowest one): 148 meV/atom
Space group: Fm-3m, No. 225
M_tot: 0.00 μB per atom


Entry 3:
Material: PrH
Method: DFT, GGA-PBE
State: optimized geometry

```
4
Lattice="-3.868 -0.423 -0.282 2.048 -2.318 2.379 -0.769 4.002 4.562" Properties=species:S:1:pos:R:3 pbc="T T T"
Pr -0.220 -0.150 3.242
Pr -2.576 2.482 4.637
H -2.274 0.912 2.847
H -0.687 2.282 6.014
```

Results
DFT total energy: -4.458 eV per atom
Space group: P6_3mc, No. 186
M_tot: 0.00 μB per atom


Entry 4:
Material: DyPu2Zn2Ge2
Method: DFT, GGA-PBE
State: optimized geometry

```
7
Lattice="-1.954 -3.186 1.618 1.635 -2.010 3.142 -4.351 3.786 7.326" Properties=species:S:1:pos:R:3 pbc="T T T"
Zn -1.239 -2.130 4.562
Pu -2.255 -2.680 7.378
Zn -3.431 0.719 7.525
Dy 0.000 0.000 0.000
Pu -2.415 1.269 4.709
Ge -0.990 -0.583 2.782
Ge -3.680 -0.827 9.305
```

Results
DFT total energy: -6.652 eV per atom
Space group: R-3m, No. 166
M_tot: 0.00 μB per atom
Calculated formation energy: -0.22 eV per atom


Entry 5:
Material: MgAl4
Method: DFT, GGA-PBE
State: optimized geometry

```
5
Lattice="2.801 0.000 -0.535 -0.212 3.979 -1.111 0.050 0.048 7.865" Properties=species:S:1:pos:R:3 pbc="T T T"
Al 0.540 0.819 2.830
Al 1.057 1.603 5.538
Al 2.098 3.209 3.389
Al 1.581 2.425 0.681
Mg 0.000 0.000 0.000
```

Results
DFT total energy: -3.304 eV per atom
Polymorph energy (0 for the lowest one): 13 meV/atom
Space group: Immm, No. 71
M_tot: 0.00 μB per atom
Calculated formation energy: 0.01 eV per atom


Entry 6:
Material: NbBi2Br
Method: DFT, GGA-PBE
State: optimized geometry

```
4
Lattice="0.000 3.730 3.730 3.730 0.000 3.730 3.730 3.730 0.000" Properties=species:S:1:pos:R:3 pbc="T T T"
Bi 5.595 5.595 5.595
Bi 1.865 1.865 1.865
Br 0.000 0.000 0.000
Nb 3.730 3.730 3.730
```

Results
Raw formation energy: 0.6178 eV per atom
DFT total energy: -4.258 eV per atom
Polymorph energy (0 for the lowest one): 65 meV/atom
Space group: Fm-3m, No. 225
M_tot: 0.00 μB per atom


Entry 7:
Material: TlIn2NiAs
Method: DFT, GGA-PBE
State: optimized geometry

```
5
Lattice="-3.915 -1.266 -3.074 0.618 -4.944 1.248 -2.959 0.527 3.551" Properties=species:S:1:pos:R:3 pbc="T T T"
In -1.958 -0.633 -1.537
In 0.309 -2.472 0.624
Ni 0.000 0.000 0.000
As -1.479 0.263 1.775
Tl -3.128 -2.842 0.862
```

Results
DFT total energy: -3.594 eV per atom
Space group: P4/mmm, No. 123
M_tot: 0.00 μB per atom
Calculated formation energy: 0.06 eV per atom


Entry 8:
Material: ScTl2PdF6
Method: DFT, GGA-PBE
State: optimized geometry

```
20
Lattice="5.942 0.000 0.000 0.000 6.101 0.000 0.000 0.000 9.995" Properties=species:S:1:pos:R:3 pbc="T T T"
F 0.000 5.022 7.968
F 4.506 3.533 0.000
Pd 0.000 4.176 4.998
Tl 0.000 1.613 2.444
Tl 2.971 4.488 2.554
F 1.535 2.568 4.998
Sc 2.971 1.133 4.998
F 1.407 0.344 0.000
F 4.407 2.568 4.998
Pd 2.971 1.925 0.000
Tl 2.971 4.488 7.442
F 1.436 3.533 0.000
F 4.378 5.757 4.998
F 2.971 1.079 7.025
F 2.971 1.079 2.970
Tl 0.000 1.613 7.551
F 0.000 5.022 2.027
Sc 0.000 4.969 0.000
F 4.535 0.344 0.000
F 1.564 5.757 4.998
```

Results
Raw formation energy: -2.3900 eV per atom
DFT total energy: -5.138 eV per atom
Space group: Pmmn, No. 59
M_tot: 0.10 μB per atom


Entry 9:
Material: Pm5Ga2Si2
Method: DFT, GGA-PBE
State: optimized geometry

```
18
Lattice="-6.413 2.692 -4.527 3.146 -2.422 -5.896 -2.129 -7.433 6.202" Properties=species:S:1:pos:R:3 pbc="T T T"
Pm -5.615 -2.142 -2.588
Ga -3.318 -3.743 -5.661
Si 0.950 -2.261 -3.275
Pm -2.189 -6.604 4.024
Pm -1.499 -7.444 0.453
Ga -1.238 -4.066 -0.133
Si -3.336 0.089 -2.243
Pm -1.919 -2.296 -3.334
Pm -3.407 -5.182 -2.942
Pm -4.234 -4.284 0.533
Si -6.033 -5.142 -1.533
Pm 0.566 -5.287 -2.283
Ga -2.048 0.454 -4.435
Ga 2.732 -2.102 -5.119
Pm -5.028 0.842 -4.833
Pm -2.747 -1.398 0.141
Si -1.746 -7.492 -2.565
Pm -2.571 -0.739 -7.158
```

Results
Raw formation energy: -0.4754 eV per atom
DFT total energy: -4.992 eV per atom
Space group: Ima2, No. 46
M_tot: 0.00 μB per atom


Entry 10:
Material: Dy2YHo7
Method: DFT, GGA-PBE
State: optimized geometry

```
10
Lattice="5.006 4.424 6.928 -6.742 3.518 -5.900 -3.790 -1.290 3.563" Properties=species:S:1:pos:R:3 pbc="T T T"
Ho -4.468 5.688 1.336
Ho -2.130 5.868 3.890
Ho -2.022 3.882 -0.746
Dy -5.495 3.115 -0.687
Ho -3.397 0.784 0.701
Y 0.000 0.000 0.000
Ho -1.058 0.964 3.255
Dy -0.031 3.537 5.278
Ho -2.763 3.326 2.296
Ho 0.287 4.060 1.775
```

Results
DFT total energy: -4.117 eV per atom
Polymorph energy (0 for the lowest one): 0 meV/atom
Space group: Cmmm, No. 65
M_tot: 0.00 μB per atom
Calculated formation energy: 0.65 eV per atom